Entry 1:
A plane-wave DFT calculation with SCAN was carried out for Tb3Ge3Ir2 at its PBEsol-relaxed geometry.

Calculated values
V = 314.9 Å³/cell
Size of the total moment = 0.00 μB per cell
Density of states at the Fermi level = 6.00 states/eV/cell
Raw total energy = -348.42 eV per formula unit
Crystal system = orthorhombic

Lattice parameters (Å, degrees): 5.6177 5.6177 14.1396 90.00 90.00 135.11
Closest atoms and distances in Å follow each position.
Sites, in units of the cell vectors:
1 Tb 0.0839 0.9161 0.6104  4 Ir 2.96-3.24, 7 Ge 3.00-3.23
2 Tb 0.0839 0.9161 0.8896  4 Ir 2.96-3.24, 7 Ge 3.00-3.23
3 Tb 0.3579 0.6421 0.7500  5 Ge 2.99-3.11, 4 Ir 3.06
4 Tb 0.6421 0.3579 0.2500  5 Ge 2.99-3.11, 4 Ir 3.06
5 Tb 0.9161 0.0839 0.1104  4 Ir 2.96-3.24, 7 Ge 3.00-3.23
6 Tb 0.9161 0.0839 0.3896  4 Ir 2.96-3.24, 7 Ge 3.00-3.23
7 Ge 0.3431 0.6569 0.2500  2 Ir 2.56
8 Ge 0.3757 0.6243 0.5351  3 Ir 2.48-2.66, 1 Ge 2.77
9 Ge 0.3757 0.6243 0.9649  3 Ir 2.48-2.66, 1 Ge 2.77
10 Ge 0.6243 0.3757 0.0351  3 Ir 2.48-2.66, 1 Ge 2.77
11 Ge 0.6243 0.3757 0.4649  3 Ir 2.48-2.66, 1 Ge 2.77
12 Ge 0.6569 0.3431 0.7500  2 Ir 2.56
13 Ir 0.2005 0.7995 0.1022  4 Ge 2.48-2.66
14 Ir 0.2005 0.7995 0.3978  4 Ge 2.48-2.66
15 Ir 0.7995 0.2005 0.6022  4 Ge 2.48-2.66
16 Ir 0.7995 0.2005 0.8978  4 Ge 2.48-2.66

***

Entry 2:
A plane-wave DFT calculation with SCAN was carried out for Tb4Ge6Ir7 at its PBEsol-relaxed geometry.

Calculated values
V = 287.3 Å³/cell
Size of the total moment = 0.00 μB per cell
Density of states at the Fermi level = 4.99 states/eV/cell
Raw total energy = -816.66 eV per formula unit
Crystal system = cubic

Lattice parameters (Å, degrees): 7.2001 7.2001 7.2001 109.47 109.47 109.47
Closest atoms and distances in Å follow each position.
Sites, in units of the cell vectors:
1 Tb 0.0000 0.0000 0.5000  6 Ir 2.94, 6 Ge 2.99
2 Tb 0.0000 0.5000 0.0000  6 Ir 2.94, 6 Ge 2.99
3 Tb 0.5000 0.0000 0.0000  6 Ir 2.94, 6 Ge 2.99
4 Tb 0.5000 0.5000 0.5000  6 Ir 2.94, 6 Ge 2.99
5 Ge 0.0000 0.3179 0.3179  5 Ir 2.57-2.64
6 Ge 0.0000 0.6821 0.6821  5 Ir 2.57-2.64
7 Ge 0.3179 0.0000 0.3179  5 Ir 2.57-2.64
8 Ge 0.3179 0.3179 0.0000  5 Ir 2.57-2.64
9 Ge 0.6821 0.0000 0.6821  5 Ir 2.57-2.64
10 Ge 0.6821 0.6821 0.0000  5 Ir 2.57-2.64
11 Ir 0.0000 0.0000 0.0000  6 Ge 2.64
12 Ir 0.2500 0.5000 0.7500  4 Ge 2.57
13 Ir 0.2500 0.7500 0.5000  4 Ge 2.57
14 Ir 0.5000 0.2500 0.7500  4 Ge 2.57
15 Ir 0.5000 0.7500 0.2500  4 Ge 2.57
16 Ir 0.7500 0.2500 0.5000  4 Ge 2.57
17 Ir 0.7500 0.5000 0.2500  4 Ge 2.57

***

Entry 3:
A plane-wave DFT calculation with SCAN was carried out for Tb3Ge13Ir4 at its PBEsol-relaxed geometry.

Calculated values
V = 712.4 Å³/cell
Size of the total moment = 0.00 μB per cell
Density of states at the Fermi level = 13.08 states/eV/cell
Raw total energy = -685.32 eV per formula unit
Crystal system = cubic

Lattice parameters (Å, degrees): 8.9312 8.9312 8.9312 90.00 90.00 90.00
Closest atoms and distances in Å follow each position.
Sites, in units of the cell vectors:
1 Tb 0.0000 0.2500 0.5000  12 Ge 3.10-3.21, 4 Ir 3.16
2 Tb 0.0000 0.7500 0.5000  12 Ge 3.10-3.21, 4 Ir 3.16
3 Tb 0.2500 0.5000 0.0000  12 Ge 3.10-3.21, 4 Ir 3.16
4 Tb 0.5000 0.0000 0.2500  12 Ge 3.10-3.21, 4 Ir 3.16
5 Tb 0.5000 0.0000 0.7500  12 Ge 3.10-3.21, 4 Ir 3.16
6 Tb 0.7500 0.5000 0.0000  12 Ge 3.10-3.21, 4 Ir 3.16
7 Ge 0.0000 0.0000 0.0000  12 Ge 3.03
8 Ge 0.0000 0.3074 0.1448  2 Ir 2.48, 1 Ge 2.59
9 Ge 0.0000 0.3074 0.8552  2 Ir 2.48, 1 Ge 2.59
10 Ge 0.0000 0.6926 0.1448  2 Ir 2.48, 1 Ge 2.59
11 Ge 0.0000 0.6926 0.8552  2 Ir 2.48, 1 Ge 2.59
12 Ge 0.1448 0.0000 0.3074  2 Ir 2.48, 1 Ge 2.59
13 Ge 0.1448 0.0000 0.6926  2 Ir 2.48, 1 Ge 2.59
14 Ge 0.1926 0.5000 0.3552  2 Ir 2.48, 1 Ge 2.59
15 Ge 0.1926 0.5000 0.6448  2 Ir 2.48, 1 Ge 2.59
16 Ge 0.3074 0.1448 0.0000  2 Ir 2.48, 1 Ge 2.59
17 Ge 0.3074 0.8552 0.0000  2 Ir 2.48, 1 Ge 2.59
18 Ge 0.3552 0.1926 0.5000  2 Ir 2.48, 1 Ge 2.59
19 Ge 0.3552 0.8074 0.5000  2 Ir 2.48, 1 Ge 2.59
20 Ge 0.5000 0.3552 0.1926  2 Ir 2.48, 1 Ge 2.59
21 Ge 0.5000 0.3552 0.8074  2 Ir 2.48, 1 Ge 2.59
22 Ge 0.5000 0.5000 0.5000  12 Ge 3.03
23 Ge 0.5000 0.6448 0.1926  2 Ir 2.48, 1 Ge 2.59
24 Ge 0.5000 0.6448 0.8074  2 Ir 2.48, 1 Ge 2.59
25 Ge 0.6448 0.1926 0.5000  2 Ir 2.48, 1 Ge 2.59
26 Ge 0.6448 0.8074 0.5000  2 Ir 2.48, 1 Ge 2.59
27 Ge 0.6926 0.1448 0.0000  2 Ir 2.48, 1 Ge 2.59
28 Ge 0.6926 0.8552 0.0000  2 Ir 2.48, 1 Ge 2.59
29 Ge 0.8074 0.5000 0.3552  2 Ir 2.48, 1 Ge 2.59
30 Ge 0.8074 0.5000 0.6448  2 Ir 2.48, 1 Ge 2.59
31 Ge 0.8552 0.0000 0.3074  2 Ir 2.48, 1 Ge 2.59
32 Ge 0.8552 0.0000 0.6926  2 Ir 2.48, 1 Ge 2.59
33 Ir 0.2500 0.2500 0.2500  6 Ge 2.48
34 Ir 0.2500 0.2500 0.7500  6 Ge 2.48
35 Ir 0.2500 0.7500 0.2500  6 Ge 2.48
36 Ir 0.2500 0.7500 0.7500  6 Ge 2.48
37 Ir 0.7500 0.2500 0.2500  6 Ge 2.48
38 Ir 0.7500 0.2500 0.7500  6 Ge 2.48
39 Ir 0.7500 0.7500 0.2500  6 Ge 2.48
40 Ir 0.7500 0.7500 0.7500  6 Ge 2.48

***

Entry 4:
A plane-wave DFT calculation with SCAN was carried out for TbGe2Ir2 at its PBEsol-relaxed geometry.

Calculated values
V = 175.0 Å³/cell
Size of the total moment = 0.00 μB per cell
Density of states at the Fermi level = 4.09 states/eV/cell
Raw total energy = -231.90 eV per formula unit
Crystal system = tetragonal

Lattice parameters (Å, degrees): 4.1707 4.1707 10.0623 90.00 90.00 90.00
Closest atoms and distances in Å follow each position.
Sites, in units of the cell vectors:
1 Tb 0.2500 0.2500 0.2479  8 Ir 3.18-3.28, 8 Ge 3.18-3.25
2 Tb 0.7500 0.7500 0.7521  8 Ir 3.18-3.28, 8 Ge 3.18-3.25
3 Ge 0.2500 0.2500 0.6326  5 Ir 2.39-2.48
4 Ge 0.2500 0.7500 0.0000  4 Ir 2.46
5 Ge 0.7500 0.2500 0.0000  4 Ir 2.46
6 Ge 0.7500 0.7500 0.3674  5 Ir 2.39-2.48
7 Ir 0.2500 0.2500 0.8699  5 Ge 2.39-2.46
8 Ir 0.2500 0.7500 0.5000  4 Ge 2.48
9 Ir 0.7500 0.2500 0.5000  4 Ge 2.48
10 Ir 0.7500 0.7500 0.1301  5 Ge 2.39-2.46

***

Number 1 is which compound?
Tb3Ge3Ir2